Entry from the Alexandria database: crystalline ScTaMnRe at its relaxed geometry (PBE).

The structure in CIF format:
```
data_ScTaMnRe
_cell_length_a 6.365
_cell_length_b 6.365
_cell_length_c 6.365
_cell_angle_alpha 90.00
_cell_angle_beta 90.00
_cell_angle_gamma 90.00
_symmetry_space_group_name_H-M 'F -4 3 m'
_symmetry_Int_Tables_number 216
_symmetry_space_group_name_Hall 'F -4 2 3'
loop_
_atom_site_label
_atom_site_fract_x
_atom_site_fract_y
_atom_site_fract_z
Sc1 0.000 0.000 0.000
Ta1 0.000 0.000 0.500
Mn1 0.250 0.250 0.250
Re1 0.250 0.250 0.750
```

Summary:
energy relative to the elements	-0.5	eV/f.u.
raw total energy	-10.0639	eV per atom
Fermi-level density of states	17.35	states/eV per cell
theoretical density	12029	kg/m³